Below is an optimized crystal structure of AgHg3Pd, with properties calculated at the PBE level.

- total moment (μB/atom) = 0.000
- DFT total energy (eV/atom) = -1.52
- relative energy among the computed polymorphs (eV per atom) = 0.265
- space-group type = Pm-3m (221)

a = 5.2416 Å, b = 5.2416 Å, c = 5.2416 Å
α = 90.00°, β = 90.00°, γ = 90.00°
Fractional coordinates of all 5 atoms:
Hg (0.5000, 0.0000, 0.0000)
Ag (0.5000, 0.5000, 0.5000)
Hg (0.0000, 0.0000, 0.5000)
Pd (0.0000, 0.0000, 0.0000)
Hg (0.0000, 0.5000, 0.0000)